(1)
Compound: LaAgMo2
Source: Alexandria via LeMat-Bulk
Functional: PBEsol
Structure: optimized geometry

Summary:
Crystal system   orthorhombic
Total DFT energy (no corrections)   -7.660 eV/atom
Calculated volume   75.6 Å³ per cell
Formation enthalpy at 0 K   388 meV/atom
Energy above the lowest structure with this stoichiometry   0 meV per atom

a b c (Å): 2.920 2.920 9.622
angles (deg): 90.00 90.00 112.87
Fractional coordinates of all 4 atoms:
La  0.500  0.500  0.239
Mo  0.000  0.000  0.965
Mo  0.500  0.500  0.767
Ag  0.000  0.000  0.528

***

(2)
Compound: LaAgMo2
Source: Alexandria via LeMat-Bulk
Functional: PBEsol
Structure: optimized geometry

Summary:
Crystal system   tetragonal
Total DFT energy (no corrections)   -7.392 eV/atom
Calculated volume   73.3 Å³ per cell
Formation enthalpy at 0 K   656 meV/atom
Energy above the lowest structure with this stoichiometry   267 meV per atom

a b c (Å): 2.745 2.745 9.729
angles (deg): 90.00 90.00 90.00
Fractional coordinates of all 4 atoms:
Mo  0.000  0.000  0.222
Mo  0.000  0.000  0.778
Ag  0.500  0.500  0.000
La  0.500  0.500  0.500